Record 1
## NdTmTh2 (PBE)

Data for a geometry-optimized NdTmTh2 structure.

Results
The value obtained for the total energy is -5.46 eV/atom. The calculation puts the magnetization at 0.0 μB per cell. Its density of states at the Fermi level is 11.2 states/eV per cell. For the calculated formation energy, the calculation gives 0.562 eV/atom.

Cell lengths 10.136, 10.136, 3.551 Å; angles 75.34, 75.34, 105.88 degrees
Atoms (fractional coordinates):
Tm1 0.199 0.801 0.750
Tm2 0.801 0.199 0.250
Th1 0.457 0.280 0.215
Th2 0.280 0.457 0.715
Th3 0.543 0.720 0.785
Th4 0.720 0.543 0.285
Nd1 0.000 0.500 0.500
Nd2 0.500 0.000 0.000

Record 2
## CaY2Tc (PBE)

Data for a geometry-optimized CaY2Tc structure.

Results
The value obtained for the total energy is -6.06 eV/atom. The calculation puts the magnetization at 0.0 μB per cell. Its density of states at the Fermi level is 5.8 states/eV per cell. For the calculated formation energy, the calculation gives 0.260 eV/atom.

Cell lengths 3.791, 3.791, 7.903 Å; angles 90.00, 90.00, 90.00 degrees
Atoms (fractional coordinates):
Tc1 0.500 0.500 0.811
Y1 0.000 0.000 0.943
Y2 0.500 0.500 0.198
Ca1 0.000 0.000 0.548

Record 3
## CsNpNiBr6 (PBE)

Data for a geometry-optimized CsNpNiBr6 structure.

Results
The value obtained for the total energy is -4.40 eV/atom. The calculation puts the magnetization at 2.0 μB per cell. Its density of states at the Fermi level is 8.2 states/eV per cell. The calculation puts the energy relative to the elements, uncorrected at -1.11 eV per atom.

Cell lengths 7.048, 7.052, 8.309 Å; angles 90.01, 89.97, 59.99 degrees
Site moments in Bohr magnetons follow the coordinates.
Atoms (fractional coordinates):
Cs1 0.999 0.001 0.000  0.00
Br1 0.354 0.023 0.688  -0.07
Br2 0.623 0.023 0.313  -0.07
Br3 0.024 0.355 0.313  -0.07
Br4 0.023 0.622 0.688  -0.07
Br5 0.621 0.355 0.687  -0.07
Br6 0.355 0.622 0.312  -0.07
Ni1 0.333 0.333 0.500  -1.24
Np1 0.667 0.666 0.500  3.70

Record 4
## HoEr4Cd (PBE)

Data for a geometry-optimized HoEr4Cd structure.

Results
The value obtained for the total energy is -3.98 eV/atom. The calculation puts the magnetization at 0.0 μB per cell. Its density of states at the Fermi level is 18.6 states/eV per cell. For the calculated formation energy, the calculation gives -0.020 eV/atom.

Cell lengths 5.986, 5.986, 11.615 Å; angles 75.13, 75.13, 60.38 degrees
Atoms (fractional coordinates):
Er1 0.837 0.325 0.500
Er2 0.748 0.587 0.750
Er3 0.413 0.252 0.750
Er4 0.587 0.748 0.250
Er5 0.252 0.413 0.250
Er6 0.325 0.837 0.000
Er7 0.163 0.675 0.500
Er8 0.675 0.163 0.000
Ho1 0.500 0.000 0.500
Ho2 0.000 0.500 0.000
Cd1 0.917 0.083 0.250
Cd2 0.083 0.917 0.750

Record 5
## CdReRh (PBE)

Data for a geometry-optimized CdReRh structure.

Results
The value obtained for the total energy is -6.51 eV/atom. The calculation puts the magnetization at 0.0 μB per cell. Its density of states at the Fermi level is 2.6 states/eV per cell. For the calculated formation energy, the calculation gives 0.392 eV/atom.

Cell lengths 4.538, 4.538, 2.744 Å; angles 90.00, 90.00, 120.00 degrees
Atoms (fractional coordinates):
Re1 0.333 0.667 0.000
Rh1 0.667 0.333 0.000
Cd1 0.000 0.000 0.500

Record 6
## NbMoH (PBE)

Data for a geometry-optimized NbMoH structure.

Results
The value obtained for the total energy is -8.16 eV/atom. The calculation puts the magnetization at 0.0 μB per cell. Its density of states at the Fermi level is 2.2 states/eV per cell.

Cell lengths 3.265, 4.701, 5.519 Å; angles 113.63, 107.21, 90.00 degrees
Atoms (fractional coordinates):
Mo1 0.616 0.861 0.231
Mo2 0.384 0.139 0.769
H1 0.202 0.816 0.404
H2 0.798 0.184 0.596
Nb1 0.879 0.638 0.757
Nb2 0.121 0.362 0.243